1.
SmInPt2: optimized geometry, PBE.

Structure (extended XYZ):
```
4
Lattice="-0.361 -3.524 0.554 3.869 0.044 2.804 -2.763 0.880 3.799" Properties=species:S:1:pos:R:3 pbc="T T T"
Pt -1.382 0.440 1.899
Pt 1.935 0.022 1.402
In 0.372 -1.300 3.578
Sm -0.181 -1.762 0.277
```

Space-group type: No. 123
Energy of formation from the pure elements, eV per atom: -0.7813
Volume, Å³ per cell: 81.9
D(E_F), states/eV/atom: 0.51

***

2.
Pr4InAg2Rh: optimized geometry, PBE.

Structure (extended XYZ):
```
8
Lattice="-0.507 -4.356 3.039 4.239 -3.096 0.952 3.078 2.175 8.313" Properties=species:S:1:pos:R:3 pbc="T T T"
Ag 5.172 -3.795 9.474
Ag 1.638 -1.483 2.831
Pr 4.461 -5.601 6.765
Pr 2.350 0.324 5.540
Pr 2.781 -4.226 3.774
Pr 4.030 -1.052 8.531
In 0.000 0.000 0.000
Rh 3.405 -2.639 6.153
```

Space-group type: No. 166
Energy of formation from the pure elements, eV per atom: -0.4256
Volume, Å³ per cell: 211.8
D(E_F), states/eV/atom: 0.65

***

3.
BPb2N: optimized geometry, PBE.

Structure (extended XYZ):
```
8
Lattice="5.378 0.000 0.000 0.000 5.378 0.000 2.689 2.689 5.480" Properties=species:S:1:pos:R:3 pbc="T T T"
Pb 4.034 4.036 4.110
Pb 6.723 6.721 4.110
Pb 4.032 1.345 1.370
Pb 1.347 4.034 1.370
B 2.689 5.378 2.740
B 2.689 2.689 0.000
N 5.378 2.689 2.740
N 0.000 0.000 0.000
```

Electronic total energy, eV/atom: -4.756
Space-group type: No. 122
Volume, Å³ per cell: 158.5
D(E_F), states/eV/atom: 0.00

***

4.
La2UZnPt6: optimized geometry, PBE.

Structure (extended XYZ):
```
10
Lattice="8.899 0.010 0.035 -0.006 5.534 -0.014 4.694 2.785 4.578" Properties=species:S:1:pos:R:3 pbc="T T T"
Pt 6.910 4.144 4.535
Pt 6.677 4.185 0.063
Pt 3.266 2.779 2.343
Pt 6.908 6.965 4.526
Pt 6.679 1.364 0.073
Pt 10.321 5.550 2.256
U 4.447 2.772 0.011
La 5.064 5.547 2.471
La 8.523 2.783 2.127
Zn 0.000 0.000 0.000
```

Space-group type: No. 12
Energy of formation from the pure elements, eV per atom: -0.7321
Volume, Å³ per cell: 224.9
D(E_F), states/eV/atom: 0.91

***

5.
Nb3GaGe: optimized geometry, PBE.

Structure (extended XYZ):
```
20
Lattice="6.378 0.348 0.274 1.644 7.389 -1.886 1.644 -0.097 7.626" Properties=species:S:1:pos:R:3 pbc="T T T"
Nb 4.500 5.240 -0.642
Nb 3.565 0.364 2.561
Nb 8.349 5.354 3.651
Nb 5.160 4.633 4.209
Nb 6.754 2.748 -0.111
Nb 1.311 0.433 5.107
Nb 2.912 4.892 6.125
Nb 6.101 7.277 3.453
Nb 8.354 7.207 0.906
Nb 5.165 2.400 6.655
Nb 4.506 3.008 1.805
Nb 1.317 2.287 2.363
Ga 3.238 2.516 4.485
Ga 6.427 5.125 1.528
Ga 6.427 0.231 7.747
Ga 3.238 7.410 -1.733
Ge 4.088 5.802 2.042
Ge 7.277 3.523 5.296
Ge 5.577 1.839 3.971
Ge 2.389 4.118 0.717
```

Space-group type: No. 15
Energy of formation from the pure elements, eV per atom: -0.2132
Volume, Å³ per cell: 349.4
D(E_F), states/eV/atom: 0.53

***

6.
Pm2ZnCuAu6: optimized geometry, PBE.

Structure (extended XYZ):
```
10
Lattice="6.860 0.000 0.000 0.000 6.860 0.000 3.430 3.430 4.851" Properties=species:S:1:pos:R:3 pbc="T T T"
Cu 0.000 0.000 0.000
Au 3.430 3.430 2.437
Au 6.861 6.860 2.414
Au 1.707 5.153 0.000
Au 5.153 1.707 0.000
Au 1.707 1.707 0.000
Au 8.584 8.583 4.851
Pm 3.431 6.860 2.426
Pm 6.860 3.430 2.426
Zn 3.430 3.430 0.000
```

Space-group type: No. 225
Energy of formation from the pure elements, eV per atom: -0.2174
Volume, Å³ per cell: 228.3
D(E_F), states/eV/atom: 0.51

***

7.
Pm3Pu2ScSe6: optimized geometry, PBE.

Structure (extended XYZ):
```
12
Lattice="4.111 0.000 0.000 0.000 8.283 0.270 -2.056 -2.413 8.670" Properties=species:S:1:pos:R:3 pbc="T T T"
Pm 0.000 6.096 3.159
Pm 2.056 4.141 0.135
Pm 2.056 -0.227 5.781
Se 2.056 -0.084 2.788
Se 0.000 6.345 0.224
Se 0.000 5.954 6.152
Se 2.056 -0.475 8.715
Se 2.055 3.991 3.078
Se 0.000 1.879 5.862
Sc 2.056 0.000 0.000
Pu 0.000 1.951 2.946
Pu 2.056 3.919 5.994
```

Electronic total energy, eV/atom: -7.544
Space-group type: No. 12
Volume, Å³ per cell: 297.9
D(E_F), states/eV/atom: 1.57